No. 1
VASP calculation (GGA-PBE) on a relaxed structure of GdBe2Ni.

Values from the calculation:
- Energy of formation from the pure elements: -0.2505 eV/atom

Cell and atoms, written as POSCAR:
```
GdBe2Ni
1.0
-2.306 2.860 -0.823
-3.637 -0.660 -0.714
-3.009 1.268 4.227
Ni Gd Be
1 1 2
Direct
0.500 0.500 0.500 Ni
0.000 0.000 0.000 Gd
0.810 0.810 0.571 Be
0.190 0.190 0.429 Be
```

No. 2
VASP calculation (GGA-PBE) on a relaxed structure of PmGdBeNi.

Values from the calculation:
- Energy of formation from the pure elements: -0.0554 eV/atom

Cell and atoms, written as POSCAR:
```
PmGdBeNi
1.0
4.895 0.000 0.000
2.447 4.239 0.000
2.447 1.413 3.997
Ni Gd Be Pm
1 1 1 1
Direct
0.250 0.250 0.250 Ni
0.500 0.500 0.500 Gd
0.750 0.750 0.750 Be
0.000 0.000 0.000 Pm
```

No. 3
VASP calculation (GGA-PBE) on a relaxed structure of GdTmBeNi.

Values from the calculation:
- Energy of formation from the pure elements: -0.1368 eV/atom

Cell and atoms, written as POSCAR:
```
GdTmBeNi
1.0
-3.441 1.716 2.850
-3.484 -2.891 1.552
-0.161 -1.296 4.604
Gd Ni Tm Be
1 1 1 1
Direct
0.250 0.250 0.250 Gd
0.000 0.000 0.000 Ni
0.750 0.750 0.750 Tm
0.500 0.500 0.500 Be
```

No. 4
VASP calculation (GGA-PBE) on a relaxed structure of GdYBeNi.

Values from the calculation:
- Energy of formation from the pure elements: -0.1080 eV/atom

Cell and atoms, written as POSCAR:
```
GdYBeNi
1.0
-4.420 -1.713 0.944
-0.520 -4.069 2.555
-1.751 0.180 4.501
Y Ni Gd Be
1 1 1 1
Direct
0.250 0.250 0.250 Y
0.500 0.500 0.500 Ni
0.750 0.750 0.750 Gd
0.000 0.000 0.000 Be
```

No. 5
VASP calculation (GGA-PBE) on a relaxed structure of SrGd2BeO5.

Values from the calculation:
- Energy relative to the elements, uncorrected: -3.10 eV per atom

Cell and atoms, written as POSCAR:
```
SrGd2BeO5
1.0
-1.297 4.305 -4.749
-6.661 0.787 2.533
2.975 7.093 5.618
Sr Gd Be O
4 8 4 20
Direct
0.581 0.982 0.675 Sr
0.419 0.482 0.325 Sr
0.081 0.482 0.825 Sr
0.919 0.982 0.175 Sr
0.094 0.747 0.520 Gd
0.406 0.747 0.020 Gd
0.906 0.247 0.480 Gd
0.594 0.247 0.980 Gd
0.935 0.529 0.176 Gd
0.065 0.029 0.824 Gd
0.435 0.029 0.324 Gd
0.565 0.529 0.676 Gd
0.693 0.749 0.399 Be
0.807 0.749 0.899 Be
0.307 0.249 0.601 Be
0.193 0.249 0.101 Be
0.021 0.749 0.991 O
0.479 0.749 0.491 O
0.979 0.249 0.009 O
0.521 0.249 0.509 O
0.632 0.753 0.224 O
0.868 0.753 0.724 O
0.368 0.253 0.776 O
0.132 0.253 0.276 O
0.319 0.056 0.074 O
0.193 0.444 0.567 O
0.681 0.556 0.926 O
0.807 0.944 0.433 O
0.693 0.944 0.933 O
0.819 0.556 0.426 O
0.307 0.444 0.067 O
0.181 0.056 0.574 O
0.157 0.741 0.280 O
0.343 0.741 0.780 O
0.843 0.241 0.720 O
0.657 0.241 0.220 O
```

No. 6
VASP calculation (GGA-PBE) on a relaxed structure of GdBe2Os.

Values from the calculation:
- Distance to the lowest polymorph of the same formula: 21.0 kJ/mol of atoms
- Energy of formation from the pure elements: 0.1172 eV/atom

Cell and atoms, written as POSCAR:
```
GdBe2Os
1.0
-3.559 2.371 -0.746
-2.797 0.790 3.224
-0.331 3.999 1.656
Be Gd Os
2 1 1
Direct
0.750 0.750 0.750 Be
0.250 0.250 0.250 Be
0.000 0.000 0.000 Gd
0.500 0.500 0.500 Os
```

No. 7
VASP calculation (GGA-PBE) on a relaxed structure of GdBe2Os.

Values from the calculation:
- Distance to the lowest polymorph of the same formula: 0.0 kJ/mol of atoms
- Energy of formation from the pure elements: -0.1006 eV/atom

Cell and atoms, written as POSCAR:
```
GdBe2Os
1.0
3.091 0.000 0.000
0.000 3.091 0.000
0.000 0.000 6.062
Be Gd Os
2 1 1
Direct
0.000 0.000 0.831 Be
0.000 0.000 0.169 Be
0.500 0.500 0.500 Gd
0.500 0.500 0.000 Os
```

No. 8
VASP calculation (GGA-PBE) on a relaxed structure of GdBe4Os.

Values from the calculation:
- Energy of formation from the pure elements: -0.0748 eV/atom

Cell and atoms, written as POSCAR:
```
GdBe4Os
1.0
-1.167 -4.537 0.352
2.887 -3.007 2.168
-1.188 -1.803 4.172
Be Gd Os
4 1 1
Direct
0.629 0.629 0.114 Be
0.629 0.114 0.629 Be
0.629 0.629 0.629 Be
0.114 0.629 0.629 Be
0.250 0.250 0.250 Gd
0.000 0.000 0.000 Os
```